The following is a PBE calculation of a geometry-optimized Bi4Se5Cl structure, from the Alexandria database.

```
Bi4Se5Cl
1.0
-5.317 -4.647 -1.562
5.532 -4.634 -5.048
2.505 -5.480 7.777
Bi Se Cl
8 10 2
Direct
0.061 0.000 0.731
0.517 0.801 0.000
0.517 0.199 0.000
0.061 0.000 0.269
0.939 0.500 0.231
0.483 0.699 0.500
0.483 0.301 0.500
0.939 0.500 0.769
0.261 0.724 0.796
0.261 0.276 0.796
0.692 0.500 0.000
0.261 0.724 0.204
0.261 0.276 0.204
0.739 0.776 0.296
0.739 0.224 0.296
0.308 0.000 0.500
0.739 0.224 0.704
0.739 0.776 0.704
0.911 0.000 0.000
0.089 0.500 0.500
```

For the total energy, the calculation gives -3.810 eV/atom. As for the volume: 31.33 Å³/atom. As for the raw formation energy: -331 meV per atom.



The following is a PBE calculation of a geometry-optimized ZrCo2ReNi structure, from the Alexandria database.

```
ZrCo2ReNi
1.0
4.239 0.000 0.000
0.000 4.532 0.000
0.000 0.000 4.239
Re Co Zr Ni
1 2 1 1
Direct
0.000 0.500 0.000
0.000 0.000 0.500
0.500 0.000 0.000
0.500 0.500 0.500
0.000 0.000 0.000
```

For the total energy, the calculation gives -7.377 eV/atom. As for the calculated formation energy: 0.821 eV/atom. As for the volume: 16.28 Å³/atom.



The following is a PBE calculation of a geometry-optimized Rb2LiCd3Sb4 structure, from the Alexandria database.

```
Rb2LiCd3Sb4
1.0
5.034 0.000 0.000
0.000 5.034 0.000
0.000 0.000 12.129
Rb Li Cd Sb
2 1 3 4
Direct
0.500 0.000 0.258
0.000 0.500 0.742
0.500 0.500 0.500
0.000 0.000 0.500
0.500 0.000 0.860
0.000 0.500 0.140
0.500 0.500 0.000
0.000 0.000 0.000
0.500 0.000 0.626
0.000 0.500 0.374
```

For the total energy, the calculation gives -2.642 eV/atom. As for the volume: 30.74 Å³/atom. As for the raw formation energy: -333 meV per atom.



The following is a PBE calculation of a geometry-optimized PaTiTe2N structure, from the Alexandria database.

```
PaTiTe2N
1.0
-2.741 -1.186 -2.505
2.755 -0.777 -2.646
1.120 -13.290 5.066
Pa Ti Te N
2 2 4 2
Direct
0.500 0.000 0.584
0.000 0.500 0.416
0.500 0.000 0.073
0.000 0.500 0.927
0.000 0.500 0.707
0.000 0.500 0.120
0.500 0.000 0.880
0.500 0.000 0.293
0.000 0.000 0.500
0.500 0.500 0.500
```

For the total energy, the calculation gives -7.567 eV/atom. As for the volume: 21.68 Å³/atom. As for the raw formation energy: -1167 meV per atom.



The following is a PBE calculation of a geometry-optimized Ga2TeW structure, from the Alexandria database.

```
Ga2TeW
1.0
-3.051 1.967 1.756
-1.655 -3.519 1.066
2.649 -0.567 9.868
Te Ga W
2 4 2
Direct
0.500 0.500 0.000
0.250 0.750 0.500
0.662 0.125 0.250
0.088 0.625 0.250
0.375 0.338 0.750
0.875 0.912 0.750
0.000 0.000 0.000
0.750 0.250 0.500
```

For the total energy, the calculation gives -4.899 eV/atom. As for the volume: 19.97 Å³/atom. As for the raw formation energy: 638 meV per atom.



The following is a PBE calculation of a geometry-optimized Li6Zn7 structure, from the Alexandria database.

```
Li6Zn7
1.0
-3.760 0.515 -3.431
-4.731 -1.584 1.133
-4.800 7.964 2.641
Li Zn
6 7
Direct
0.833 0.833 0.500
0.167 0.167 0.500
0.650 0.650 0.049
0.350 0.350 0.951
0.550 0.550 0.350
0.450 0.450 0.650
0.000 0.000 0.000
0.910 0.415 0.765
0.415 0.910 0.765
0.910 0.910 0.765
0.090 0.090 0.235
0.090 0.585 0.235
0.585 0.090 0.235
```

For the total energy, the calculation gives -1.755 eV/atom. As for the calculated formation energy: -0.186 eV/atom. As for the volume: 16.05 Å³/atom.



The following is a PBE calculation of a geometry-optimized CoHPb structure, from the Alexandria database.

```
CoHPb
1.0
-3.709 -1.674 -2.769
1.775 -6.449 1.520
-3.120 0.134 4.098
Pb H Co
4 4 4
Direct
0.751 0.648 0.606
0.751 0.038 0.212
0.251 0.962 0.788
0.251 0.352 0.394
0.251 0.523 0.928
0.251 0.774 0.253
0.751 0.226 0.747
0.751 0.477 0.072
0.005 0.334 0.896
0.505 0.666 0.104
0.496 0.334 0.896
0.996 0.666 0.104
```

For the total energy, the calculation gives -4.515 eV/atom. As for the volume: 14.50 Å³/atom.



The following is a PBE calculation of a geometry-optimized AsIrCSe2 structure, from the Alexandria database.

```
AsIrCSe2
1.0
5.072 0.000 0.000
0.000 5.072 0.000
0.000 0.000 4.609
As Ir C Se
1 1 1 2
Direct
0.000 0.000 0.500
0.000 0.000 0.000
0.500 0.500 0.500
0.000 0.500 0.000
0.500 0.000 0.000
```

For the total energy, the calculation gives -4.105 eV/atom. The distance to the lowest polymorph of the same formula is 12.755 kcal/mol of atoms. As for the volume: 23.72 Å³/atom. As for the raw formation energy: 1835 meV per atom.



The following is a PBE calculation of a geometry-optimized Pu2SnAs3Rh4 structure, from the Alexandria database.

```
Pu2SnAs3Rh4
1.0
4.137 0.000 0.000
0.000 4.137 0.000
0.000 0.000 11.005
Pu Sn As Rh
2 1 3 4
Direct
0.500 0.000 0.239
0.000 0.500 0.761
0.500 0.500 0.500
0.000 0.000 0.500
0.500 0.000 0.870
0.000 0.500 0.130
0.500 0.500 0.000
0.000 0.000 0.000
0.500 0.000 0.651
0.000 0.500 0.349
```

For the total energy, the calculation gives -8.241 eV/atom. As for the calculated formation energy: -0.639 eV/atom. As for the volume: 18.83 Å³/atom.



The following is a PBE calculation of a geometry-optimized Er3Tm2Zn3 structure, from the Alexandria database.

```
Er3Tm2Zn3
1.0
3.555 0.000 0.000
0.000 5.114 0.000
-1.778 -2.557 10.592
Er Tm Zn
3 2 3
Direct
0.619 0.619 0.238
0.381 0.381 0.762
0.500 0.000 0.000
0.729 0.229 0.458
0.271 0.771 0.542
0.116 0.116 0.231
0.000 0.500 0.000
0.884 0.884 0.769
```

For the total energy, the calculation gives -3.561 eV/atom. As for the calculated formation energy: -0.254 eV/atom. As for the volume: 24.07 Å³/atom.



The following is a PBE calculation of a geometry-optimized KPrBi2 structure, from the Alexandria database.

```
KPrBi2
1.0
4.627 0.000 0.000
2.314 4.007 0.000
2.314 1.336 8.784
Pr K Bi
1 1 2
Direct
0.000 0.000 0.000
0.500 0.500 0.500
0.263 0.263 0.212
0.737 0.737 0.788
```

For the total energy, the calculation gives -3.811 eV/atom. The distance to the lowest polymorph of the same formula is 3.824 kcal/mol of atoms. As for the calculated formation energy: -0.401 eV/atom. As for the volume: 40.72 Å³/atom.



The following is a PBE calculation of a geometry-optimized Er4GaAg2Hg structure, from the Alexandria database.

```
Er4GaAg2Hg
1.0
5.111 0.000 0.000
2.556 4.427 0.000
2.556 1.476 8.346
Er Ga Ag Hg
4 1 2 1
Direct
0.377 0.377 0.869
0.873 0.873 0.381
0.127 0.127 0.619
0.623 0.623 0.131
0.500 0.500 0.500
0.749 0.749 0.752
0.251 0.251 0.248
0.000 0.000 0.000
```

For the total energy, the calculation gives -3.850 eV/atom. As for the calculated formation energy: -0.440 eV/atom. As for the volume: 23.61 Å³/atom.



| no. | DOS at the Fermi energy (states/eV per atom) |
| --- | --- |
| 1 | 0.232 |
| 2 | 1.411 |
| 3 | 0.225 |
| 4 | 0.871 |
| 5 | 0.831 |
| 6 | 0.165 |
| 7 | 0.846 |
| 8 | 0.886 |
| 9 | 2.842 |
| 10 | 1.135 |
| 11 | 0.843 |
| 12 | 0.530 |